Cs2Rb2Sn3 after structural relaxation, computed with PBE.

Cell and atoms, written as POSCAR:
```
Cs2Rb2Sn3
1.0
6.948 -3.250 0.000
6.948 3.250 0.000
-4.781 0.000 7.381
Cs Rb Sn
2 2 3
Direct
0.174 0.174 0.048 Cs
0.826 0.826 0.952 Cs
0.154 0.154 0.511 Rb
0.846 0.846 0.489 Rb
0.479 0.479 0.817 Sn
0.500 0.500 0.500 Sn
0.521 0.521 0.183 Sn
```

## Properties
- Space-group type: No. 12
- Calculated formation energy: -13.8 kJ per mole of atoms